{
  "formula": "Rb3Ta2MnO8",
  "functional": "GGA+U",
  "state": "optimized geometry",
  "cell": [[5.948, 0.000, 0.000], [-2.974, 5.151, 0.000], [0.000, 0.000, 8.007]],
  "species": ["Rb", "Rb", "Rb", "Ta", "Ta", "Mn", "O", "O", "O", "O", "O", "O", "O", "O"],
  "frac_coords": [[0.000, 0.000, 0.000], [0.333, 0.667, 0.719], [0.667, 0.333, 0.281], [0.333, 0.667, 0.284], [0.667, 0.333, 0.716], [0.000, 0.000, 0.500], [0.160, 0.319, 0.358], [0.160, 0.840, 0.358], [0.319, 0.160, 0.642], [0.333, 0.667, 0.056], [0.667, 0.333, 0.944], [0.681, 0.840, 0.358], [0.840, 0.160, 0.642], [0.840, 0.681, 0.642]],
  "sg": "No. 164",
  "mass_density_g_cm3": 5.4,
  "total_energy_ha_per_atom": -0.2707
}